An optimized crystal structure of MoCl5, computed with GGA-PBE.

a = 7.2088 Å, b = 7.8808 Å, c = 6.3242 Å
α = 90.00°, β = 90.00°, γ = 90.00°
Last column: nearest neighbours and their distance in Å.
Element x y z (fractional)
Mo  0.0000  0.5000  0.8238  5 Cl 2.23-2.32
Mo  0.5000  0.0000  0.1762  5 Cl 2.23-2.32
Cl  0.2330  0.0000  0.3559  1 Mo 2.23
Cl  0.5000  0.2938  0.1730  1 Mo 2.32
Cl  0.0000  0.5000  0.1774  1 Mo 2.24
Cl  0.7670  0.0000  0.3559  1 Mo 2.23
Cl  0.7330  0.5000  0.6441  1 Mo 2.23
Cl  0.0000  0.2062  0.8270  1 Mo 2.32
Cl  0.5000  0.7062  0.1730  1 Mo 2.32
Cl  0.5000  0.0000  0.8226  1 Mo 2.24
Cl  0.0000  0.7938  0.8270  1 Mo 2.32
Cl  0.2670  0.5000  0.6441  1 Mo 2.23

Computed properties:
- total energy (eV per atom) = -4.111
- space-group type = Pmmn (59)